DFT (meta-GGA SCAN) results for a PBEsol-optimized structure of As2OsPt.

Geometry as CIF:
```
data_As2OsPt
_cell_length_a 4.2264
_cell_length_b 3.0772
_cell_length_c 5.0937
_cell_angle_alpha 90.00
_cell_angle_beta 112.86
_cell_angle_gamma 90.00
_symmetry_space_group_name_H-M 'P 1 2/m 1'
_symmetry_Int_Tables_number 10
loop_
_symmetry_equiv_pos_as_xyz
'x,y,z'
'-x,-y,-z'
'-x,y,-z'
'x,-y,z'
loop_
_atom_site_label
_atom_site_type_symbol
_atom_site_fract_x
_atom_site_fract_y
_atom_site_fract_z
As1 As 0.0000 0.0000 0.0000
As2 As 0.0000 0.5000 0.5000
Os1 Os 0.5000 0.0000 0.5000
Pt1 Pt 0.5000 0.5000 0.0000
```

Formation energy = 199.5 meV per atom
ΔE to the lowest computed polymorph = 140 meV/atom
E_tot = -181.7 eV per cell